Entry 1:
The following is a GGA-PBE calculation of a geometry-optimized Dy2BiO5 structure, from Alexandria via LeMat-Bulk.

a b c (Å): 6.727 7.378 9.449
angles (deg): 90.00 106.42 90.00
Positions (direct):
1 Dy 0.741 0.875 0.006
2 Dy 0.241 0.625 0.006
3 Dy 0.541 0.871 0.338
4 Dy 0.041 0.629 0.338
5 Dy 0.959 0.371 0.662
6 Dy 0.459 0.129 0.662
7 Dy 0.759 0.375 0.994
8 Dy 0.259 0.125 0.994
9 Bi 0.557 0.381 0.332
10 Bi 0.057 0.119 0.332
11 Bi 0.943 0.881 0.668
12 Bi 0.443 0.619 0.668
13 O 0.969 0.119 0.098
14 O 0.947 0.627 0.098
15 O 0.469 0.381 0.098
16 O 0.447 0.873 0.098
17 O 0.846 0.886 0.282
18 O 0.858 0.363 0.278
19 O 0.346 0.614 0.282
20 O 0.768 0.620 0.481
21 O 0.358 0.137 0.278
22 O 0.268 0.880 0.481
23 O 0.732 0.120 0.519
24 O 0.642 0.863 0.722
25 O 0.232 0.380 0.519
26 O 0.654 0.386 0.718
27 O 0.142 0.637 0.722
28 O 0.154 0.114 0.718
29 O 0.553 0.127 0.902
30 O 0.531 0.619 0.902
31 O 0.053 0.373 0.902
32 O 0.031 0.881 0.902

**Space-group type**: No. 14

=====

Entry 2:
The following is a GGA-PBE calculation of a geometry-optimized DyBiOsO6 structure, from Alexandria via LeMat-Bulk.

a b c (Å): 5.562 5.562 9.611
angles (deg): 90.00 90.00 120.00
Last column: magnetic moment on the atom in μB.
Positions (direct):
1 Dy 0.333 0.667 0.250  0.03
2 Dy 0.667 0.333 0.750  0.03
3 Bi 0.000 0.000 0.000  0.06
4 Bi 0.000 0.000 0.500  0.06
5 Os 0.667 0.333 0.250  1.24
6 Os 0.333 0.667 0.750  1.24
7 O 0.663 0.621 0.136  0.07
8 O 0.959 0.337 0.136  0.07
9 O 0.337 0.959 0.636  0.07
10 O 0.041 0.663 0.864  0.07
11 O 0.379 0.337 0.364  0.07
12 O 0.959 0.621 0.364  0.07
13 O 0.621 0.959 0.864  0.07
14 O 0.663 0.041 0.364  0.07
15 O 0.041 0.379 0.636  0.07
16 O 0.379 0.041 0.136  0.07
17 O 0.621 0.663 0.636  0.07
18 O 0.337 0.379 0.864  0.07

**Space-group type**: No. 163

=====

Entry 3:
The following is a GGA-PBE calculation of a geometry-optimized Dy2BiOsO8 structure, from Alexandria via LeMat-Bulk.

a b c (Å): 5.044 5.044 6.849
angles (deg): 90.00 90.00 90.41
Last column: magnetic moment on the atom in μB.
Positions (direct):
1 Dy 0.500 0.500 0.750  0.01
2 Dy 0.500 0.500 0.250  0.01
3 Bi 0.000 0.000 0.500  -0.01
4 Os 0.000 0.000 0.000  0.38
5 O 0.182 0.817 0.209  0.01
6 O 0.733 0.733 0.000  0.03
7 O 0.818 0.183 0.209  0.01
8 O 0.818 0.183 0.791  0.01
9 O 0.267 0.267 0.000  0.03
10 O 0.182 0.817 0.791  0.01
11 O 0.687 0.688 0.500  0.00
12 O 0.313 0.312 0.500  0.00

**Space-group type**: No. 65

=====

Entry 4:
The following is a GGA-PBE calculation of a geometry-optimized DyPaBi2O8 structure, from Alexandria via LeMat-Bulk.

a b c (Å): 6.336 6.336 6.336
angles (deg): 109.88 109.88 108.65
Positions (direct):
1 Dy 0.250 0.750 0.500
2 Pa 0.000 0.000 0.000
3 Bi 0.750 0.250 0.500
4 Bi 0.500 0.500 0.000
5 O 0.324 0.026 0.298
6 O 0.291 0.478 0.187
7 O 0.291 0.104 0.813
8 O 0.728 0.026 0.702
9 O 0.896 0.709 0.187
10 O 0.974 0.272 0.298
11 O 0.974 0.676 0.702
12 O 0.522 0.709 0.813

**Space-group type**: No. 119

=====

Number 1: electronic total energy -233.66 eV/cell, formation energy (no corrections) -2.567 eV per atom, magnetic moment 0.00 Bohr magnetons per cell. Number 2: electronic total energy -129.94 eV/cell, formation energy (no corrections) -1.723 eV per atom, magnetic moment 3.85 Bohr magnetons per cell. Number 3: electronic total energy -88.91 eV/cell, formation energy (no corrections) -2.077 eV per atom, magnetic moment 0.54 Bohr magnetons per cell. Number 4: electronic total energy -87.18 eV/cell, formation energy (no corrections) -2.138 eV per atom, magnetic moment 0.00 Bohr magnetons per cell.